Record 1
Compound: Cu2SiP
Source: the Alexandria database
Functional: GGA-PBEsol
Structure: relaxed

- Total magnetization: 0.0 μB per formula unit
- DOS(E_F): 1.6 states/eV per cell
- Raw formation energy: 0.7 eV/f.u.
- Crystal system: tetragonal

Cell lengths 2.6143, 2.6143, 7.3759 Å; angles 90.00, 90.00, 90.00 degrees
Last column: nearest neighbours and their distance in Å.
Element x y z (fractional)
1 Cu 0.0000 0.0000 0.0043  4 Si 2.51, 8 Cu 2.57-2.61
2 Cu 0.5000 0.5000 0.2470  4 P 2.49, 8 Cu 2.57-2.61
3 P 0.0000 0.0000 0.4738  4 Cu 2.49, 4 P 2.61
4 Si 0.5000 0.5000 0.7749  4 Cu 2.51, 4 Si 2.61

=====

Record 2
Compound: NdCrGeO5
Source: the Alexandria database
Functional: GGA-PBEsol
Structure: relaxed

- Total magnetization: 3.0 μB per formula unit
- Raw formation energy: -19.2 eV/f.u.
- Crystal system: orthorhombic

Cell lengths 5.7825, 7.4360, 8.5259 Å; angles 90.00, 90.00, 90.00 degrees
Last column: nearest neighbours and their distance in Å.
Element x y z (fractional)
1 Nd 0.5000 0.3589 0.3255  8 O 2.34-2.52
2 Nd 0.5000 0.6411 0.6745  8 O 2.34-2.52
3 Nd 0.5000 0.1411 0.8255  8 O 2.34-2.52
4 Nd 0.5000 0.8589 0.1745  8 O 2.34-2.52
5 Cr 0.2480 0.0000 0.5000  6 O 1.95-2.00
6 Cr 0.7520 0.0000 0.5000  6 O 1.95-2.00
7 Cr 0.7520 0.5000 0.0000  6 O 1.95-2.00
8 Cr 0.2480 0.5000 0.0000  6 O 1.95-2.00
9 Ge 0.0000 0.1151 0.1435  5 O 1.77-1.92
10 Ge 0.0000 0.8849 0.8565  5 O 1.77-1.92
11 Ge 0.0000 0.3849 0.6435  5 O 1.77-1.92
12 Ge 0.0000 0.6151 0.3565  5 O 1.77-1.92
13 O 0.2436 0.1031 0.2835  1 Ge 1.85, 1 Cr 2.00
14 O 0.7564 0.8969 0.7165  1 Ge 1.85, 1 Cr 2.00
15 O 0.2436 0.8969 0.7165  1 Ge 1.85, 1 Cr 2.00
16 O 0.7564 0.3969 0.7835  1 Ge 1.85, 1 Cr 2.00
17 O 0.7564 0.1031 0.2835  1 Ge 1.85, 1 Cr 2.00
18 O 0.2436 0.6031 0.2165  1 Ge 1.85, 1 Cr 2.00
19 O 0.7564 0.6031 0.2165  1 Ge 1.85, 1 Cr 2.00
20 O 0.2436 0.3969 0.7835  1 Ge 1.85, 1 Cr 2.00
21 O 0.0000 0.3394 0.0730  1 Ge 1.77, 2 Cr 1.97
22 O 0.0000 0.6606 0.9270  1 Ge 1.77, 2 Cr 1.97
23 O 0.0000 0.1606 0.5730  1 Ge 1.77, 2 Cr 1.97
24 O 0.0000 0.8394 0.4270  1 Ge 1.77, 2 Cr 1.97
25 O 0.5000 0.3358 0.0517  2 Cr 1.95
26 O 0.5000 0.6642 0.9483  2 Cr 1.95
27 O 0.5000 0.1642 0.5517  2 Cr 1.95
28 O 0.5000 0.8358 0.4483  2 Cr 1.95
29 O 0.2087 0.0000 0.0000  2 Ge 1.92
30 O 0.7913 0.0000 0.0000  2 Ge 1.92
31 O 0.7913 0.5000 0.5000  2 Ge 1.92
32 O 0.2087 0.5000 0.5000  2 Ge 1.92

=====

Record 3
Compound: Li3CuS2
Source: the Alexandria database
Functional: GGA-PBEsol
Structure: relaxed

- Total magnetization: 0.0 μB per formula unit
- DOS(E_F): 0.0 states/eV per cell
- Raw formation energy: -6.3 eV/f.u.
- Crystal system: cubic

Cell lengths 9.6284, 9.6284, 9.6284 Å; angles 109.47, 109.47, 109.47 degrees
Last column: nearest neighbours and their distance in Å.
Element x y z (fractional)
1 Li 0.2507 0.2472 0.2497  4 S 2.36-2.46
2 Li 0.0025 0.2528 0.5035  4 S 2.36-2.46
3 Li 0.2503 0.7493 0.2528  4 S 2.36-2.46
4 Li 0.2497 0.5025 0.4991  4 S 2.36-2.46
5 Li 0.5035 0.7507 0.0009  4 S 2.36-2.46
6 Li 0.9965 0.9975 0.2472  4 S 2.36-2.46
7 Li 0.9991 0.2497 0.0025  4 S 2.36-2.46
8 Li 0.5009 0.5035 0.2507  4 S 2.36-2.46
9 Li 0.2528 0.0035 0.5025  4 S 2.36-2.46
10 Li 0.2472 0.7497 0.7507  4 S 2.36-2.46
11 Li 0.5025 0.9991 0.7497  4 S 2.36-2.46
12 Li 0.2493 0.4991 0.9965  4 S 2.36-2.46
13 Li 0.4975 0.0009 0.2503  4 S 2.36-2.46
14 Li 0.7507 0.5009 0.0035  4 S 2.36-2.46
15 Li 0.7528 0.2503 0.2493  4 S 2.36-2.46
16 Li 0.7472 0.9965 0.4975  4 S 2.36-2.46
17 Li 0.0009 0.7503 0.9975  4 S 2.36-2.46
18 Li 0.4991 0.4965 0.7493  4 S 2.36-2.46
19 Li 0.4965 0.2493 0.9991  4 S 2.36-2.46
20 Li 0.0035 0.0025 0.7528  4 S 2.36-2.46
21 Li 0.7497 0.2507 0.7472  4 S 2.36-2.46
22 Li 0.7503 0.4975 0.5009  4 S 2.36-2.46
23 Li 0.9975 0.7472 0.4965  4 S 2.36-2.46
24 Li 0.7493 0.7528 0.7503  4 S 2.36-2.46
25 Cu 0.2458 0.2458 0.7458  4 S 2.37-2.45
26 Cu 0.5000 0.7458 0.5000  4 S 2.37-2.45
27 Cu 0.7458 0.0000 0.0000  4 S 2.37-2.45
28 Cu 0.7542 0.7542 0.2542  4 S 2.37-2.45
29 Cu 0.5000 0.2542 0.5000  4 S 2.37-2.45
30 Cu 0.0000 0.5000 0.2458  4 S 2.37-2.45
31 Cu 0.2542 0.0000 0.0000  4 S 2.37-2.45
32 Cu 0.0000 0.5000 0.7542  4 S 2.37-2.45
33 S 0.2500 0.5041 0.2541  6 Li 2.36-2.46, 2 Cu 2.37
34 S 0.0000 0.0000 0.0000  6 Li 2.40, 2 Cu 2.45
35 S 0.5000 0.0000 0.5000  6 Li 2.40, 2 Cu 2.45
36 S 0.5000 0.5000 0.0000  6 Li 2.40, 2 Cu 2.45
37 S 0.5041 0.7541 0.7500  6 Li 2.36-2.46, 2 Cu 2.37
38 S 0.0041 0.2541 0.7500  6 Li 2.36-2.46, 2 Cu 2.37
39 S 0.7500 0.9959 0.2459  6 Li 2.36-2.46, 2 Cu 2.37
40 S 0.7541 0.2500 0.0041  6 Li 2.36-2.46, 2 Cu 2.37
41 S 0.7459 0.7500 0.4959  6 Li 2.36-2.46, 2 Cu 2.37
42 S 0.2459 0.7500 0.9959  6 Li 2.36-2.46, 2 Cu 2.37
43 S 0.2541 0.2500 0.5041  6 Li 2.36-2.46, 2 Cu 2.37
44 S 0.2500 0.0041 0.7541  6 Li 2.36-2.46, 2 Cu 2.37
45 S 0.0000 0.5000 0.5000  6 Li 2.40, 2 Cu 2.45
46 S 0.9959 0.7459 0.2500  6 Li 2.36-2.46, 2 Cu 2.37
47 S 0.4959 0.2459 0.2500  6 Li 2.36-2.46, 2 Cu 2.37
48 S 0.7500 0.4959 0.7459  6 Li 2.36-2.46, 2 Cu 2.37

=====

Record 4
Compound: ErMn2SiC
Source: the Alexandria database
Functional: GGA-PBEsol
Structure: relaxed

- Total magnetization: 2.2 μB per formula unit
- DOS(E_F): 6.1 states/eV per cell
- Raw formation energy: -2.8 eV/f.u.
- Crystal system: orthorhombic

Cell lengths 3.6410, 5.5033, 6.8657 Å; angles 90.00, 90.00, 109.32 degrees
Last column: nearest neighbours and their distance in Å.
Element x y z (fractional)
1 Er 0.4566 0.9132 0.2500  4 C 2.54
2 Er 0.5434 0.0868 0.7500  4 C 2.54
3 Mn 0.1687 0.3375 0.4374  1 C 1.80
4 Mn 0.8313 0.6625 0.5626  1 C 1.80
5 Mn 0.8313 0.6625 0.9374  1 C 1.80
6 Mn 0.1687 0.3375 0.0626  1 C 1.80
7 Si 0.7366 0.4732 0.2500  6 Mn 2.34-2.36
8 Si 0.2634 0.5268 0.7500  6 Mn 2.34-2.36
9 C 0.0000 0.0000 0.5000  2 Mn 1.80
10 C 0.0000 0.0000 0.0000  2 Mn 1.80

=====

Record 5
Compound: Na2TlO
Source: the Alexandria database
Functional: GGA-PBEsol
Structure: relaxed

- Total magnetization: 0.0 μB per formula unit
- DOS(E_F): 4.6 states/eV per cell
- Raw formation energy: -2.2 eV/f.u.
- Crystal system: tetragonal

Cell lengths 5.6286, 6.1408, 6.1408 Å; angles 77.88, 62.72, 62.72 degrees
Last column: nearest neighbours and their distance in Å.
Element x y z (fractional)
1 Na 0.8750 0.8690 0.6310  2 O 2.25
2 Na 0.3750 0.1310 0.3690  2 O 2.25
3 Na 0.4940 0.6310 0.1310  2 O 2.25
4 Na 0.2560 0.3690 0.8690  2 O 2.25
5 Tl 0.0000 0.0000 0.0000  2 O 2.81, 4 Na 3.00
6 Tl 0.7500 0.5000 0.5000  2 O 2.81, 4 Na 3.00
7 O 0.5000 0.0000 0.0000  4 Na 2.25
8 O 0.2500 0.5000 0.5000  4 Na 2.25

=====

Record 6
Compound: VAgP2O7
Source: the Alexandria database
Functional: GGA-PBEsol
Structure: relaxed

- Total magnetization: 2.0 μB per formula unit
- DOS(E_F): 22.6 states/eV per cell
- Raw formation energy: -21.3 eV/f.u.
- Crystal system: monoclinic

Cell lengths 7.2948, 8.0352, 9.5575 Å; angles 90.00, 111.49, 90.00 degrees
Last column: nearest neighbours and their distance in Å.
Element x y z (fractional)
1 V 0.7636 0.5060 0.2509  6 O 1.95-2.05
2 V 0.2364 0.0060 0.2491  6 O 1.95-2.05
3 V 0.2364 0.4940 0.7491  6 O 1.95-2.05
4 V 0.7636 0.9940 0.7509  6 O 1.95-2.05
5 Ag 0.8007 0.5251 0.8208  3 O 2.32-2.41
6 Ag 0.1993 0.0251 0.6792  3 O 2.32-2.41
7 Ag 0.1993 0.4749 0.1792  3 O 2.32-2.41
8 Ag 0.8007 0.9749 0.3208  3 O 2.32-2.41
9 P 0.5802 0.7434 0.9553  4 O 1.50-1.61
10 P 0.4198 0.2434 0.5447  4 O 1.50-1.61
11 P 0.4198 0.2566 0.0447  4 O 1.50-1.61
12 P 0.5802 0.7566 0.4553  4 O 1.50-1.61
13 P 0.1754 0.7053 0.4516  4 O 1.53-1.61
14 P 0.8246 0.2053 0.0484  4 O 1.53-1.61
15 P 0.8246 0.2947 0.5484  4 O 1.53-1.61
16 P 0.1754 0.7947 0.9516  4 O 1.53-1.61
17 O 0.6903 0.7008 0.1204  1 P 1.52
18 O 0.3097 0.2008 0.3796  1 P 1.52
19 O 0.3097 0.2992 0.8796  1 P 1.52
20 O 0.6903 0.7992 0.6204  1 P 1.52
21 O 0.0388 0.5816 0.3402  1 P 1.53
22 O 0.9612 0.0816 0.1598  1 P 1.53
23 O 0.9612 0.4184 0.6598  1 P 1.53
24 O 0.0388 0.9184 0.8402  1 P 1.53
25 O 0.1822 0.6912 0.6126  1 P 1.53
26 O 0.8178 0.1912 0.8874  1 P 1.53
27 O 0.8178 0.3088 0.3874  1 P 1.53
28 O 0.1822 0.8088 0.1126  1 P 1.53
29 O 0.5096 0.5878 0.8544  1 P 1.55
30 O 0.4904 0.0878 0.6456  1 P 1.55
31 O 0.4904 0.4122 0.1456  1 P 1.55
32 O 0.5096 0.9122 0.3544  1 P 1.55
33 O 0.6957 0.6362 0.3992  1 P 1.50
34 O 0.3043 0.1362 0.1008  1 P 1.50
35 O 0.3043 0.3638 0.6008  1 P 1.50
36 O 0.6957 0.8638 0.8992  1 P 1.50
37 O 0.1388 0.6126 0.8980  1 P 1.54
38 O 0.8612 0.1126 0.6020  1 P 1.54
39 O 0.8612 0.3874 0.1020  1 P 1.54
40 O 0.1388 0.8874 0.3980  1 P 1.54
41 O 0.3860 0.6543 0.4462  2 P 1.61
42 O 0.6140 0.1543 0.0538  2 P 1.61
43 O 0.6140 0.3457 0.5538  2 P 1.61
44 O 0.3860 0.8457 0.9462  2 P 1.61

=====

Record 7
Compound: Hg2OsPb
Source: the Alexandria database
Functional: GGA-PBEsol
Structure: relaxed

- Total magnetization: 0.0 μB per formula unit
- Formation energy from the elements: 0.708 eV per atom
- DOS(E_F): 4.0 states/eV per cell
- Crystal system: tetragonal

Cell lengths 3.0810, 3.0810, 8.7666 Å; angles 90.00, 90.00, 90.00 degrees
Last column: nearest neighbours and their distance in Å.
Element x y z (fractional)
1 Hg 0.0000 0.0000 0.7937  4 Os 2.83, 4 Hg 3.08
2 Hg 0.0000 0.0000 0.2063  4 Os 2.83, 4 Hg 3.08
3 Os 0.5000 0.5000 0.0000  8 Hg 2.83, 4 Os 3.08
4 Pb 0.5000 0.5000 0.5000  4 Pb 3.08, 8 Hg 3.37

=====

Record 8
Compound: Cu2ReP
Source: the Alexandria database
Functional: GGA-PBEsol
Structure: relaxed

- Total magnetization: 0.0 μB per formula unit
- Formation energy from the elements: 0.247 eV per atom
- DOS(E_F): 1.8 states/eV per cell
- Crystal system: trigonal

Cell lengths 2.6958, 2.6958, 8.2585 Å; angles 80.61, 80.61, 60.00 degrees
Last column: nearest neighbours and their distance in Å.
Element x y z (fractional)
1 Cu 0.2447 0.2447 0.2659  3 P 2.45, 3 Re 2.66, 6 Cu 2.70
2 Cu 0.7553 0.7553 0.7341  3 P 2.45, 3 Re 2.66, 6 Cu 2.70
3 P 0.5000 0.5000 0.5000  6 Cu 2.45, 6 P 2.70
4 Re 0.0000 0.0000 0.0000  6 Cu 2.66, 6 Re 2.70

=====

The highest total magnetization belongs to which entry?
NdCrGeO5

=====

Number 1 is which compound?
Cu2SiP

=====

What is the total magnetization in the seventh record?
0.0 μB per formula unit

=====

Repeat the seventh record exactly.
Compound: Hg2OsPb
Source: the Alexandria database
Functional: GGA-PBEsol
Structure: relaxed

- Total magnetization: 0.0 μB per formula unit
- Formation energy from the elements: 0.708 eV per atom
- DOS(E_F): 4.0 states/eV per cell
- Crystal system: tetragonal

Cell lengths 3.0810, 3.0810, 8.7666 Å; angles 90.00, 90.00, 90.00 degrees
Last column: nearest neighbours and their distance in Å.
Element x y z (fractional)
1 Hg 0.0000 0.0000 0.7937  4 Os 2.83, 4 Hg 3.08
2 Hg 0.0000 0.0000 0.2063  4 Os 2.83, 4 Hg 3.08
3 Os 0.5000 0.5000 0.0000  8 Hg 2.83, 4 Os 3.08
4 Pb 0.5000 0.5000 0.5000  4 Pb 3.08, 8 Hg 3.37